[1]
A plane-wave DFT calculation with PBE was carried out for YGeAu3 after structural relaxation.

- SG = Pm-3m, No. 221
- N(E_F) (states/eV/atom) = 1.009
- energy of formation (eV/atom) = 0.648
- polymorph energy (0 for the lowest one) (eV per formula unit) = 3.93

abc: 5.3783 5.3783 5.3783
angles: 90.00 90.00 90.00
Last column: nearest neighbours and their distance in Å.
Fractional coordinates of all 5 atoms:
1 Au 0.5000 0.0000 0.0000  2 Y 2.69
2 Au 0.0000 0.5000 0.0000  2 Y 2.69
3 Au 0.0000 0.0000 0.5000  2 Y 2.69
4 Y 0.0000 0.0000 0.0000  6 Au 2.69
5 Ge 0.5000 0.5000 0.5000  12 Au 3.80

***

[2]
A plane-wave DFT calculation with PBE was carried out for YGeAu after structural relaxation.

- SG = Pm, No. 6
- N(E_F) (states/eV/atom) = 0.453
- energy of formation (eV/atom) = -0.732

abc: 4.4008 7.7095 3.8361
angles: 90.01 90.00 89.99
Last column: nearest neighbours and their distance in Å.
Fractional coordinates of all 6 atoms:
1 Au 0.7341 0.4954 0.3726  2 Ge 2.54, 1 Au 2.71
2 Au 0.7337 0.1437 0.3814  2 Ge 2.54, 1 Au 2.71
3 Y 0.7339 0.8196 0.8781  4 Au 3.14-3.16, 8 Ge 3.14-3.20
4 Ge 0.2341 0.6590 0.3904  1 Ge 2.48, 2 Au 2.54
5 Y 0.2338 0.3195 0.8777  8 Au 3.21-3.23, 4 Ge 3.22-3.27
6 Ge 0.2338 0.9800 0.3710  1 Ge 2.48, 2 Au 2.54

***

[3]
A plane-wave DFT calculation with PBE was carried out for Y3Ge4Au7 after structural relaxation.

- SG = C2/m, No. 12
- N(E_F) (states/eV/atom) = 0.344
- energy of formation (eV/atom) = -0.563

abc: 4.4106 8.3714 8.4950
angles: 70.84 74.95 74.73
Last column: nearest neighbours and their distance in Å.
Fractional coordinates of all 14 atoms:
1 Ge 0.8738 0.9059 0.3465  6 Au 2.66-2.81
2 Au 0.5066 0.7962 0.1906  3 Ge 2.70-2.81, 5 Au 2.84-2.93
3 Au 0.4934 0.2038 0.8094  3 Ge 2.70-2.81, 5 Au 2.84-2.93
4 Y 0.6907 0.8089 0.8097  9 Au 3.10-3.32, 4 Ge 3.12-3.19
5 Au 0.0000 0.0000 0.0000  2 Ge 2.73, 6 Au 2.93-3.02
6 Ge 0.6628 0.4554 0.2190  5 Au 2.54-2.70
7 Au 0.8489 0.3882 0.9141  3 Ge 2.62-2.70, 2 Au 2.92
8 Ge 0.3372 0.5446 0.7810  5 Au 2.54-2.70
9 Y 0.3093 0.1911 0.1903  9 Au 3.10-3.32, 4 Ge 3.12-3.19
10 Au 0.1511 0.6118 0.0859  3 Ge 2.62-2.70, 2 Au 2.92
11 Au 0.6732 0.1852 0.4683  4 Ge 2.54-2.71, 1 Au 2.84
12 Ge 0.1262 0.0941 0.6535  6 Au 2.66-2.81
13 Au 0.3268 0.8148 0.5317  4 Ge 2.54-2.71, 1 Au 2.84
14 Y 0.0000 0.5000 0.5000  6 Ge 3.17-3.28, 6 Au 3.26-3.43

***

[4]
A plane-wave DFT calculation with PBE was carried out for Y3Ge4Au2 after structural relaxation.

- SG = C2/m, No. 12
- N(E_F) (states/eV/atom) = 0.358
- energy of formation (eV/atom) = -0.738

abc: 4.4427 5.8422 8.3663
angles: 102.97 90.00 112.35
Last column: nearest neighbours and their distance in Å.
Fractional coordinates of all 9 atoms:
1 Y 0.0000 0.0000 0.0000  8 Ge 3.10-3.18, 4 Au 3.31
2 Y 0.3372 0.6743 0.3272  8 Ge 3.01-3.31, 4 Au 3.13-3.18
3 Au 0.3787 0.7574 0.7108  3 Ge 2.51-2.53
4 Au 0.6213 0.2426 0.2892  3 Ge 2.51-2.53
5 Ge 0.7152 0.4303 0.0424  2 Ge 2.50, 1 Au 2.51
6 Y 0.6628 0.3257 0.6728  8 Ge 3.01-3.31, 4 Au 3.13-3.18
7 Ge 0.0497 0.0993 0.3808  1 Ge 2.48, 2 Au 2.53
8 Ge 0.9503 0.9007 0.6192  1 Ge 2.48, 2 Au 2.53
9 Ge 0.2848 0.5697 0.9576  2 Ge 2.50, 1 Au 2.51

***

Asked for total moment across the records above, the calculation gives 0.00 0.00 0.00 0.00 μB per atom in order.